# 1
Computed, not measured: a relaxed structure of Si2Tc2As at the GGA-PBE level of DFT.

Summary:
Theoretical density: 7.3 g/cm³
N(E_F): 4.3 states/eV/f.u.
Final energy: -7.455 eV/atom
Spin magnetization: 0.00 μB per formula unit
Relative energy among the computed polymorphs: 0.00 eV per formula unit
Uncorrected formation energy: -1.046 eV per formula unit
SG: I4/mmm

Unit cell a=6.8854 b=6.8854 c=6.8854 alpha=151.43 beta=151.43 gamma=40.85
With the nearest neighbours (Å) after each atom.
Positions (direct):
1 Si 0.2500 0.7500 0.5000  4 Si 2.40, 4 Tc 2.46
2 Si 0.7500 0.2500 0.5000  4 Si 2.40, 4 Tc 2.46
3 Tc 0.1120 0.1120 0.0000  4 Si 2.46
4 Tc 0.8880 0.8880 0.0000  4 Si 2.46
5 As 0.5000 0.5000 0.0000  8 Tc 2.80

***

# 2
Computed, not measured: a relaxed structure of SiTc2As at the GGA-PBE level of DFT.

Summary:
Theoretical density: 7.5 g/cm³
N(E_F): 2.5 states/eV/f.u.
Final energy: -7.137 eV/atom
Spin magnetization: 0.00 μB per formula unit
Relative energy among the computed polymorphs: 3.39 eV per formula unit
Uncorrected formation energy: 2.256 eV per formula unit
SG: I4/mmm

Unit cell a=5.7780 b=5.7780 c=5.7780 alpha=143.99 beta=143.99 gamma=51.84
With the nearest neighbours (Å) after each atom.
Positions (direct):
1 Si 0.0000 0.0000 0.0000  4 As 2.53, 2 Tc 2.59
2 Tc 0.2492 0.2492 0.0000  4 Tc 2.53, 1 Si 2.59, 1 As 2.61
3 Tc 0.7508 0.7508 0.0000  4 Tc 2.53, 1 Si 2.59, 1 As 2.61
4 As 0.5000 0.5000 0.0000  4 Si 2.53, 2 Tc 2.61